## YHo2Hf (PBE)

Data for a relaxed structure of YHo2Hf.

Lattice parameters (Å, degrees): 3.417 3.417 11.458 81.43 81.43 60.00
Fractional coordinates of all 4 atoms:
Ho (0.744, 0.744, 0.768)
Ho (0.256, 0.256, 0.232)
Y (0.500, 0.500, 0.500)
Hf (0.000, 0.000, 0.000)

Summary:
Volume in Å³/f.u.: 114
Relative energy among the computed polymorphs in meV/atom: 7
DFT formation energy in eV/atom: 0.116
Density of states at the Fermi level in states/eV/cell: 5.44
SG: R-3m, No. 166